1.
PrYThSc: relaxed, PBE.

Geometry as POSCAR:
```
PrYThSc
1.0
-2.0228 -4.3046 2.9737
1.8985 -0.9616 5.1899
-3.3158 0.9581 4.4218
Sc Pr Y Th
1 1 1 1
direct
0.2500 0.2500 0.2500
0.0000 0.0000 0.0000
0.7500 0.7500 0.7500
0.5000 0.5000 0.5000
```

Computed properties:
The magnetization is 0.00 μB/f.u. The calculation puts the calculated volume at 124.80 Å³ per cell. The formation energy is 0.117 eV per atom. The density of states at the Fermi level comes out at 6.95 states/eV/cell. For the energy above the most stable polymorph in this dataset, the calculation gives 11 meV/atom.

=====

2.
Tb2GaHPt6: relaxed, PBE.

Geometry as POSCAR:
```
Tb2GaHPt6
1.0
-1.3941 -1.4881 5.2562
-4.3857 -4.8161 -2.5265
-0.4655 -6.9068 0.9452
Pt H Tb Ga
6 1 2 1
direct
0.7295 0.7687 0.0392
0.7687 0.7295 0.4626
0.7687 0.2313 0.9608
0.2313 0.7687 0.0392
0.2705 0.2313 0.9608
0.2313 0.2705 0.5374
0.0000 0.0000 0.0000
0.7853 0.2147 0.4294
0.2147 0.7853 0.5706
0.5000 0.5000 0.0000
```

Computed properties:
The magnetization is 0.00 μB/f.u. The calculation puts the calculated volume at 170.19 Å³ per cell. The density of states at the Fermi level comes out at 3.50 states/eV/cell. The total energy is -6.031 eV/atom.

=====

3.
Ca2TeAu2: relaxed, PBE.

Geometry as POSCAR:
```
Ca2TeAu2
1.0
7.9900 0.0000 0.0000
0.0000 7.9900 0.0000
0.0000 0.0000 4.0236
Au Te Ca
4 2 4
direct
0.3780 0.8780 0.0000
0.1220 0.3780 0.0000
0.8780 0.6220 0.0000
0.6220 0.1220 0.0000
0.5000 0.5000 0.0000
0.0000 0.0000 0.0000
0.8239 0.3239 0.5000
0.3239 0.1761 0.5000
0.6761 0.8239 0.5000
0.1761 0.6761 0.5000
```

Computed properties:
The magnetization is 0.00 μB/f.u. The calculation puts the calculated volume at 256.87 Å³ per cell. The density of states at the Fermi level comes out at 3.31 states/eV/cell. As for the uncorrected formation energy: -0.874 eV/atom. For the energy above the most stable polymorph in this dataset, the calculation gives 0 meV/atom.

=====

4.
Mn2IrOs: relaxed, PBE.

Geometry as POSCAR:
```
Mn2IrOs
1.0
-1.8492 -2.3789 -2.8894
-4.0267 0.5938 -0.9275
-1.0729 1.6452 -3.6837
Mn Ir Os
2 1 1
direct
0.7500 0.7500 0.7500
0.2500 0.2500 0.2500
0.5000 0.5000 0.5000
0.0000 0.0000 0.0000
```

Computed properties:
The magnetization is 0.00 μB/f.u. The calculation puts the calculated volume at 51.44 Å³ per cell. The formation energy is 0.337 eV per atom. The density of states at the Fermi level comes out at 9.28 states/eV/cell. For the energy above the most stable polymorph in this dataset, the calculation gives 451 meV/atom.

=====

5.
Sb2AsRu: relaxed, PBE.

Geometry as POSCAR:
```
Sb2AsRu
1.0
6.8604 -0.0336 0.0144
4.7625 4.9381 -0.0144
-5.5221 -3.1378 2.5935
Sb Ru As
2 1 1
direct
0.4269 0.4269 0.0000
0.0731 0.0731 0.0000
0.2500 0.7500 0.5000
0.7500 0.2500 0.5000
```

Computed properties:
The magnetization is 0.00 μB/f.u. The calculation puts the calculated volume at 88.14 Å³ per cell. The density of states at the Fermi level comes out at 3.10 states/eV/cell. As for the uncorrected formation energy: 0.168 eV/atom.

=====

6.
PmAlPd: relaxed, PBE.

Geometry as POSCAR:
```
PmAlPd
1.0
3.3222 0.0000 0.0000
0.0000 3.3222 0.0000
-1.6611 -1.6611 5.6273
Pm Al Pd
1 1 1
direct
0.0035 0.0035 0.0071
0.2995 0.2995 0.5990
0.6970 0.6970 0.3939
```

Computed properties:
The magnetization is 0.00 μB/f.u. The calculation puts the calculated volume at 62.11 Å³ per cell. The formation energy is -0.630 eV per atom. The density of states at the Fermi level comes out at 3.07 states/eV/cell. For the energy above the most stable polymorph in this dataset, the calculation gives 194 meV/atom.

=====

7.
GaPF: relaxed, PBE.

Geometry as POSCAR:
```
GaPF
1.0
-2.7687 2.8425 -0.5824
-4.2823 -2.3601 -2.2885
-3.8511 -1.8851 3.6267
F Ga P
2 2 2
direct
0.2835 0.0122 0.3483
0.4590 0.4038 0.4991
0.3777 0.1960 0.9228
0.0489 0.7239 0.4237
0.8622 0.5743 0.8648
0.9570 0.8971 0.9700
```

Computed properties:
The magnetization is 0.00 μB/f.u. The calculation puts the calculated volume at 105.43 Å³ per cell. The density of states at the Fermi level comes out at 0.00 states/eV/cell. As for the uncorrected formation energy: -1.149 eV/atom. For the energy above the most stable polymorph in this dataset, the calculation gives 102 meV/atom.

=====

8.
Ac3Pm: relaxed, PBE.

Geometry as POSCAR:
```
Ac3Pm
1.0
-7.6145 1.1275 -1.7349
2.1673 -6.1614 4.4274
-0.6682 3.5130 5.2160
Ac Pm
6 2
direct
0.8309 0.6619 0.7500
0.1691 0.3381 0.2500
0.3381 0.1691 0.7500
0.1691 0.8309 0.2500
0.6619 0.8309 0.2500
0.8309 0.1691 0.7500
0.6667 0.3333 0.2500
0.3333 0.6667 0.7500
```

Computed properties:
The magnetization is 0.00 μB/f.u. The calculation puts the calculated volume at 341.00 Å³ per cell. The formation energy is 0.042 eV per atom. The density of states at the Fermi level comes out at 13.24 states/eV/cell. For the energy above the most stable polymorph in this dataset, the calculation gives 18 meV/atom.